[1]
Density functional theory data (PBE) for a relaxed In3SiPd crystal.

Values from the calculation:
E above lowest polymorph (eV per formula unit): 0.00
Calculated total energy (eV per formula unit): -17.2
Total magnetization (μB/f.u.): 0.000
Energy relative to the elements, uncorrected (eV/atom): 0.321
DOS at the Fermi energy (states/eV per cell): 3.6

Lattice parameters (Å, degrees): 5.1299 5.1299 5.1299 90.00 90.00 90.00
With the nearest neighbours (Å) after each atom.
Space group Pm-3m (No. 221)
One atom of each set of equivalent atoms:
1 In 0.0000 0.0000 0.5000  2 Pd 2.56
2 Si 0.5000 0.5000 0.5000  12 In 3.63
3 Pd 0.0000 0.0000 0.0000  6 In 2.56


[2]
Density functional theory data (PBE) for a relaxed InSiPd4 crystal.

Values from the calculation:
E above lowest polymorph (eV per formula unit): 0.00
Calculated total energy (eV per formula unit): -32.5
Total magnetization (μB/f.u.): 0.000
Energy relative to the elements, uncorrected (eV/atom): -0.588
DOS at the Fermi energy (states/eV per cell): 6.5

Lattice parameters (Å, degrees): 6.9301 3.4405 16.1851 90.00 90.00 90.00
With the nearest neighbours (Å) after each atom.
Space group Pnma (No. 62)
One atom of each set of equivalent atoms:
1 In 0.2450 0.2500 0.1903  7 Pd 2.67-2.80
2 Si 0.2480 0.7500 0.4449  8 Pd 2.42-2.68
3 Pd 0.0040 0.7500 0.5652  3 Si 2.46-2.58, 1 In 2.67, 2 Pd 2.72
4 Pd 0.0604 0.7500 0.2970  1 Si 2.72, 4 In 2.75-2.79, 4 Pd 2.85-2.91
5 Pd 0.1275 0.7500 0.8542  2 Si 2.42, 1 In 2.68
6 Pd 0.1347 0.7500 0.0450  3 Si 2.50-2.68


[3]
Density functional theory data (PBE) for a relaxed InSiPd2 crystal.

Values from the calculation:
Calculated total energy (eV per formula unit): -20.6
Total magnetization (μB/f.u.): 0.000
Energy relative to the elements, uncorrected (eV/atom): -0.510
DOS at the Fermi energy (states/eV per cell): 12.8

Lattice parameters (Å, degrees): 5.8322 14.9264 6.4687 90.00 90.00 90.00
With the nearest neighbours (Å) after each atom.
Space group Pbca (No. 61)
One atom of each set of equivalent atoms:
1 In 0.2360 0.1970 0.1049  5 Pd 2.71-2.95
2 Si 0.1931 0.5543 0.5479  6 Pd 2.42-2.50
3 Pd 0.0076 0.5454 0.2018  4 Si 2.45-2.50
4 Pd 0.0195 0.1507 0.7200  2 Si 2.42-2.47, 1 In 2.71


Q: Which formula does entry 1 have?
A: In3SiPd